Record 1
4
Lattice="-1.376 0.591 -2.593 -1.183 -2.750 0.000 -7.126 3.065 4.481" Properties=species:S:1:pos:R:3 comment="FeAs2Br (PBE, relaxed)" e_above_lowest_polymorph_mev_per_atom=102 final_energy_ry_per_atom=-0.3518 magnetic_moment_mub_per_fu=1.1 e_form_raw_ev_per_atom=0.073 pbc="T T T"
Fe -6.624 1.219 2.064
As -4.252 1.829 2.674
As -6.437 2.768 4.048
Br -3.061 -0.313 -0.176

Record 2
4
Lattice="3.496 0.000 0.000 0.000 3.496 0.000 0.000 0.000 6.300" Properties=species:S:1:pos:R:3 comment="YMgRe2 (PBE, relaxed)" ef_kj_per_mol_fu=166 final_energy_ry_per_atom=-0.5739 magnetic_moment_mub_per_fu=0.0 pbc="T T T"
Re 0.000 0.000 5.913
Y 1.748 1.748 1.575
Re 0.000 0.000 3.537
Mg 1.748 1.748 4.725